A relaxed CeNiAsO crystal. Source: the Alexandria database, functional PBE+U.

Computed properties:
- DOS at the Fermi energy (states/eV per cell) = 8.1
- DFT total energy (eV/cell) = -48.7
- M_tot (μB per formula unit) = 0.00
- SG = P4/nmm

```
CeNiAsO
1.0
4.011 0.000 0.000
0.000 4.011 0.000
0.000 0.000 7.825
O Ce As Ni
2 2 2 2
Direct
0.500 0.500 0.000
0.000 0.000 0.000
0.000 0.500 0.845
0.500 0.000 0.155
0.500 0.000 0.650
0.000 0.500 0.350
0.500 0.500 0.500
0.000 0.000 0.500
```